VASP calculation (PBE+U) on an optimized crystal structure of RbMoP2O8.

Its spin magnetization is 1.0 μB per cell. The calculation puts the total energy at -6.931 eV per atom.

It has space group P-3 (No. 147), with a = 5.0573 Å, b = 5.0573 Å, c = 8.8306 Å, α = 90.00°, β = 90.00° and γ = 120.00°. The inequivalent atoms are Rb at (0.0000, 0.0000, 0.0000), Mo at (0.0000, 0.0000, 0.5000), P at (0.3333, 0.6667, 0.7000), O at (0.0878, 0.3518, 0.6326) and O at (0.3333, 0.6667, 0.8692).